Record 1
Below is crystalline Ca2MnPbSe4 at its relaxed geometry, with properties calculated at the PBE-GGA level.

Unit cell a=7.216 b=4.185 c=7.295 alpha=90.00 beta=109.45 gamma=90.00
Space group P2/m (No. 10)
Asymmetric unit:
1 Ca 0.000 0.000 0.000 [1 per cell]
2 Ca 0.000 0.500 0.500 [1 per cell]
3 Mn 0.500 0.000 0.500 [1 per cell]
4 Pb 0.500 0.500 0.000 [1 per cell]
5 Se 0.249 0.000 0.732 [2 per cell]
6 Se 0.263 0.500 0.270 [2 per cell]

As for the uncorrected formation energy: -9.4 eV/f.u. The volume is 207.7 Å³/cell. Its crystal system is monoclinic. The magnetic moment comes out at 5.00 μB per cell.



Record 2
Below is crystalline LiZnRu2 at its relaxed geometry, with properties calculated at the PBE-GGA level.

Unit cell a=9.045 b=2.748 c=4.527 alpha=90.00 beta=101.56 gamma=90.00
Space group C2/m (No. 12)
Asymmetric unit:
1 Li 0.000 0.000 0.000 [2 per cell]
2 Zn 0.000 0.500 0.500 [2 per cell]
3 Ru 0.240 0.000 0.753 [4 per cell]

The formation energy from the elements is 11.0 kJ per mole of atoms. The volume is 110.2 Å³/cell. Its crystal system is monoclinic. The magnetic moment comes out at 0.00 μB per cell.



Record 3
Below is crystalline Ca2AlTe at its relaxed geometry, with properties calculated at the PBE-GGA level.

Unit cell a=7.693 b=7.693 c=7.693 alpha=90.00 beta=90.00 gamma=90.00
Space group F-43m (No. 216)
Asymmetric unit:
1 Ca 0.000 0.000 0.000 [4 per cell]
2 Ca 0.250 0.250 0.250 [4 per cell]
3 Al 0.000 0.000 0.500 [4 per cell]
4 Te 0.250 0.250 0.750 [4 per cell]

As for the uncorrected formation energy: -0.7 eV/f.u. The volume is 455.3 Å³/cell. Its crystal system is cubic. The magnetic moment comes out at 0.00 μB per cell. The calculation puts the energy above the most stable polymorph in this dataset at 2.07 eV per formula unit.



Record 4
Below is crystalline PuZr2Rh at its relaxed geometry, with properties calculated at the PBE-GGA level.

Unit cell a=6.854 b=6.854 c=6.854 alpha=90.00 beta=90.00 gamma=90.00
Space group Fm-3m (No. 225)
Asymmetric unit:
1 Pu 0.000 0.000 0.000 [4 per cell]
2 Zr 0.250 0.250 0.250 [8 per cell]
3 Rh 0.000 0.000 0.500 [4 per cell]

The formation energy from the elements is -8.2 kJ per mole of atoms. The volume is 322.1 Å³/cell. Its crystal system is cubic. The magnetic moment comes out at 24.12 μB per cell. The calculation puts the energy above the most stable polymorph in this dataset at 0.92 eV per formula unit.



Record 5
Below is crystalline Ta2TeS at its relaxed geometry, with properties calculated at the PBE-GGA level.

Unit cell a=4.853 b=4.853 c=15.547 alpha=90.00 beta=90.00 gamma=90.00
Space group I-42d (No. 122)
Asymmetric unit:
1 Ta 0.170 0.250 0.125 [8 per cell]
2 Te 0.000 0.000 0.500 [4 per cell]
3 S 0.000 0.000 0.000 [4 per cell]

As for the uncorrected formation energy: 0.7 eV/f.u. The volume is 366.2 Å³/cell. Its crystal system is tetragonal. The magnetic moment comes out at 0.00 μB per cell. The calculation puts the energy above the most stable polymorph in this dataset at 0.40 eV per formula unit.



Record 6
Below is crystalline BeCr2Cd at its relaxed geometry, with properties calculated at the PBE-GGA level.

Unit cell a=2.627 b=3.916 c=5.183 alpha=90.00 beta=95.90 gamma=90.00
Space group P2/m (No. 10)
Asymmetric unit:
1 Be 0.000 0.000 0.000 [1 per cell]
2 Cr 0.448 0.500 0.194 [2 per cell]
3 Cd 0.000 0.000 0.500 [1 per cell]

The formation energy from the elements is 41.3 kJ per mole of atoms. The volume is 53.0 Å³/cell. Its crystal system is monoclinic. The magnetic moment comes out at 0.00 μB per cell. The calculation puts the energy above the most stable polymorph in this dataset at 0.73 eV per formula unit.



Record 7
Below is crystalline CsCuAsSe2 at its relaxed geometry, with properties calculated at the PBE-GGA level.

Unit cell a=7.683 b=16.569 c=5.037 alpha=90.00 beta=90.00 gamma=90.00
Space group Cmme (No. 67)
Asymmetric unit:
1 Cs 0.000 0.250 0.204 [4 per cell]
2 Cu 0.000 0.000 0.000 [4 per cell]
3 As 0.250 0.000 0.500 [4 per cell]
4 Se 0.000 0.102 0.689 [8 per cell]

As for the uncorrected formation energy: -1.3 eV/f.u. The volume is 641.2 Å³/cell. Its crystal system is orthorhombic. The magnetic moment comes out at 0.00 μB per cell. The calculation puts the energy above the most stable polymorph in this dataset at 0.00 eV per formula unit.



Record 8
Below is crystalline La4Pr3Hg3N2 at its relaxed geometry, with properties calculated at the PBE-GGA level.

Unit cell a=5.154 b=5.171 c=25.116 alpha=90.00 beta=90.00 gamma=90.00
Space group Immm (No. 71)
Asymmetric unit:
1 La 0.000 0.000 0.096 [4 per cell]
2 La 0.000 0.500 0.301 [4 per cell]
3 Pr 0.000 0.000 0.404 [4 per cell]
4 Pr 0.000 0.500 0.500 [2 per cell]
5 Hg 0.000 0.500 0.000 [2 per cell]
6 Hg 0.000 0.500 0.175 [4 per cell]
7 N 0.000 0.500 0.397 [4 per cell]

As for the uncorrected formation energy: -8.5 eV/f.u. The volume is 669.3 Å³/cell. Its crystal system is orthorhombic. The magnetic moment comes out at 0.00 μB per cell.



Record 9
Below is crystalline Ce2YHo6Er3 at its relaxed geometry, with properties calculated at the PBE-GGA level.

Unit cell a=6.100 b=10.562 c=11.671 alpha=90.00 beta=100.03 gamma=90.00
Space group C2/m (No. 12)
Asymmetric unit:
1 Ce 0.000 0.166 0.000 [4 per cell]
2 Y 0.000 0.500 0.000 [2 per cell]
3 Ho 0.248 0.000 0.251 [4 per cell]
4 Ho 0.248 0.168 0.750 [8 per cell]
5 Er 0.000 0.000 0.500 [2 per cell]
6 Er 0.000 0.334 0.500 [4 per cell]

The formation energy from the elements is 4.8 kJ per mole of atoms. The volume is 740.5 Å³/cell. Its crystal system is monoclinic. The magnetic moment comes out at 3.66 μB per cell.



Record 10
Below is crystalline Mg3H3Ir2 at its relaxed geometry, with properties calculated at the PBE-GGA level.

Unit cell a=4.304 b=5.311 c=5.538 alpha=97.34 beta=112.87 gamma=113.80
Space group P1 (No. 1)
Asymmetric unit:
1 Mg 0.000 0.000 0.000 [1 per cell]
2 Mg 0.044 0.418 0.670 [1 per cell]
3 Mg 0.522 0.727 0.318 [1 per cell]
4 H 0.012 0.624 0.400 [1 per cell]
5 H 0.348 0.259 0.428 [1 per cell]
6 H 0.493 0.045 0.942 [1 per cell]
7 Ir 0.300 0.012 0.589 [1 per cell]
8 Ir 0.748 0.455 0.040 [1 per cell]

The volume is 100.5 Å³/cell. Its crystal system is triclinic. The magnetic moment comes out at 0.00 μB per cell. The calculation puts the energy above the most stable polymorph in this dataset at 0.09 eV per formula unit.



Record 11
Below is crystalline BaU2ZnN5 at its relaxed geometry, with properties calculated at the PBE-GGA level.

Unit cell a=6.568 b=6.568 c=11.715 alpha=90.00 beta=90.00 gamma=90.00
Space group I4/mcm (No. 140)
Asymmetric unit:
1 Ba 0.000 0.000 0.250 [4 per cell]
2 U 0.178 0.322 0.000 [8 per cell]
3 Zn 0.000 0.500 0.250 [4 per cell]
4 N 0.000 0.000 0.000 [4 per cell]
5 N 0.149 0.351 0.381 [16 per cell]

As for the uncorrected formation energy: -8.2 eV/f.u. The volume is 505.4 Å³/cell. Its crystal system is tetragonal. The magnetic moment comes out at 4.01 μB per cell.



Record 12
Below is crystalline Nb3CuAs at its relaxed geometry, with properties calculated at the PBE-GGA level.

Unit cell a=4.742 b=4.742 c=4.742 alpha=90.00 beta=90.00 gamma=90.00
Space group Pm-3m (No. 221)
Asymmetric unit:
1 Nb 0.000 0.000 0.500 [3 per cell]
2 Cu 0.500 0.500 0.500 [1 per cell]
3 As 0.000 0.000 0.000 [1 per cell]

The formation energy from the elements is 87.1 kJ per mole of atoms. The volume is 106.6 Å³/cell. Its crystal system is cubic. The magnetic moment comes out at 0.00 μB per cell. The calculation puts the energy above the most stable polymorph in this dataset at 0.00 eV per formula unit.



Record 13
Below is crystalline V2CuMo at its relaxed geometry, with properties calculated at the PBE-GGA level.

Unit cell a=6.758 b=6.758 c=5.141 alpha=90.00 beta=90.00 gamma=90.00
Space group I-42d (No. 122)
Asymmetric unit:
1 V 0.244 0.250 0.125 [8 per cell]
2 Cu 0.000 0.000 0.000 [4 per cell]
3 Mo 0.000 0.000 0.500 [4 per cell]

The formation energy from the elements is 57.3 kJ per mole of atoms. The volume is 234.8 Å³/cell. Its crystal system is tetragonal. The magnetic moment comes out at 0.00 μB per cell. The calculation puts the energy above the most stable polymorph in this dataset at 2.19 eV per formula unit.



Record 14
Below is crystalline Nd2Sc3Te6 at its relaxed geometry, with properties calculated at the PBE-GGA level.

Unit cell a=7.400 b=12.767 c=7.489 alpha=90.00 beta=109.37 gamma=90.00
Space group C2/m (No. 12)
Asymmetric unit:
1 Nd 0.000 0.164 0.000 [4 per cell]
2 Sc 0.000 0.000 0.500 [2 per cell]
3 Sc 0.000 0.327 0.500 [4 per cell]
4 Te 0.230 0.500 0.730 [4 per cell]
5 Te 0.247 0.340 0.265 [8 per cell]

As for the uncorrected formation energy: -14.4 eV/f.u. The volume is 667.4 Å³/cell. Its crystal system is monoclinic. The magnetic moment comes out at 0.00 μB per cell.



Record 15
Below is crystalline Ti2BeO4 at its relaxed geometry, with properties calculated at the PBE-GGA level.

Unit cell a=8.075 b=8.075 c=8.075 alpha=90.00 beta=90.00 gamma=90.00
Space group Fd-3m (No. 227, origin choice 2)
Asymmetric unit:
1 Ti 0.000 0.000 0.000 [16 per cell]
2 Be 0.125 0.125 0.625 [8 per cell]
3 O 0.005 0.005 0.745 [32 per cell]

As for the uncorrected formation energy: -19.5 eV/f.u. The volume is 526.6 Å³/cell. Its crystal system is cubic. The magnetic moment comes out at 0.01 μB per cell.



Record 16
Below is crystalline ZrTi6Pb at its relaxed geometry, with properties calculated at the PBE-GGA level.

Unit cell a=4.683 b=6.529 c=9.839 alpha=90.00 beta=90.00 gamma=90.00
Space group Amm2 (No. 38)
Asymmetric unit:
1 Zr 0.000 0.000 0.000 [2 per cell]
2 Ti 0.000 0.000 0.495 [2 per cell]
3 Ti 0.000 0.216 0.744 [4 per cell]
4 Ti 0.500 0.000 0.794 [2 per cell]
5 Ti 0.500 0.216 0.525 [4 per cell]
6 Pb 0.500 0.000 0.262 [2 per cell]

The formation energy from the elements is 3.0 kJ per mole of atoms. The volume is 300.9 Å³/cell. Its crystal system is orthorhombic. The magnetic moment comes out at 0.00 μB per cell.



Record 17
Below is crystalline CsMgIn2Te4 at its relaxed geometry, with properties calculated at the PBE-GGA level.

Unit cell a=7.479 b=7.479 c=12.349 alpha=90.00 beta=90.00 gamma=90.00
Space group I-42m (No. 121)
Asymmetric unit:
1 Cs 0.000 0.000 0.000 [2 per cell]
2 Mg 0.000 0.000 0.500 [2 per cell]
3 In 0.000 0.500 0.250 [4 per cell]
4 Te 0.203 0.203 0.353 [8 per cell]

As for the uncorrected formation energy: -3.9 eV/f.u. The volume is 690.7 Å³/cell. Its crystal system is tetragonal. The magnetic moment comes out at 0.00 μB per cell.



Record 18
Below is crystalline Pa2MnCrSi6 at its relaxed geometry, with properties calculated at the PBE-GGA level.

Unit cell a=5.8567 b=5.8567 c=33.0488 alpha=90.00 beta=90.00 gamma=120.00
Space group R-3m (No. 166, hexagonal axes)
Asymmetric unit:
1 Pa 0.0000 0.0000 0.1127 [6 per cell]
2 Pa 0.0000 0.0000 0.2904 [6 per cell]
3 Mn 0.0000 0.0000 0.4292 [6 per cell]
4 Cr 0.0000 0.0000 0.0000 [3 per cell]
5 Cr 0.0000 0.0000 0.5000 [3 per cell]
6 Si 0.0537 0.5269 0.2944 [18 per cell]
7 Si 0.0670 0.5335 0.8701 [18 per cell]

As for the uncorrected formation energy: -3.5 eV/f.u. The volume is 981.7 Å³/cell. Its crystal system is trigonal. The magnetic moment comes out at 0.01 μB per cell.



Record 19
Below is crystalline Sc2TaBr at its relaxed geometry, with properties calculated at the PBE-GGA level.

Unit cell a=3.3233 b=3.3233 c=29.5284 alpha=90.00 beta=90.00 gamma=120.00
Space group R-3m (No. 166, hexagonal axes)
Asymmetric unit:
1 Sc 0.0000 0.0000 0.0889 [6 per cell]
2 Ta 0.0000 0.0000 0.5000 [3 per cell]
3 Br 0.0000 0.0000 0.0000 [3 per cell]

As for the uncorrected formation energy: -0.4 eV/f.u. The volume is 282.4 Å³/cell. Its crystal system is trigonal. The magnetic moment comes out at 0.00 μB per cell. The calculation puts the energy above the most stable polymorph in this dataset at 0.81 eV per formula unit.



Record 20
Below is crystalline LaRu at its relaxed geometry, with properties calculated at the PBE-GGA level.

Unit cell a=4.9239 b=4.9239 c=4.8887 alpha=90.00 beta=90.00 gamma=120.00
Space group P6_3/mmc (No. 194)
Asymmetric unit:
1 La 0.3333 0.6667 0.2500 [2 per cell]
2 Ru 0.0000 0.0000 0.0000 [2 per cell]

The formation energy from the elements is -20.1 kJ per mole of atoms. The volume is 102.6 Å³/cell. Its crystal system is hexagonal. The magnetic moment comes out at 0.00 μB per cell.